# 1
Here is LaTm2Os after structural relaxation from Alexandria. Energies are from PBE-GGA.

Summary:
Volume ... 435.1 Å³/cell
Total magnetic moment ... 0.00 μB/atom
Formation enthalpy at 0 K ... -0.246 eV per atom
Density ... 10181 kg/m3

```
LaTm2Os
1.0
6.422 0.000 0.000
0.000 7.443 0.000
0.000 0.000 9.103
La Tm Os
4 8 4
direct
0.130 0.954 0.750
0.370 0.454 0.750
0.630 0.546 0.250
0.870 0.046 0.250
0.839 0.329 0.934
0.339 0.171 0.066
0.161 0.671 0.434
0.161 0.671 0.066
0.661 0.829 0.934
0.839 0.329 0.566
0.339 0.171 0.434
0.661 0.829 0.566
0.948 0.622 0.750
0.552 0.122 0.750
0.448 0.878 0.250
0.052 0.378 0.250
```

# 2
Here is Sm8DyEr6 after structural relaxation from Alexandria. Energies are from PBE-GGA.

Summary:
Volume ... 490.5 Å³/cell
Total magnetic moment ... 0.00 μB/atom
Formation enthalpy at 0 K ... 0.129 eV per atom
Density ... 8020 kg/m3

```
Sm8DyEr6
1.0
9.050 0.000 0.000
4.525 7.837 0.000
4.525 2.612 6.916
Sm Er Dy
8 6 1
direct
0.112 0.749 0.421
0.251 0.282 0.579
0.749 0.718 0.421
0.577 0.577 0.268
0.282 0.888 0.579
0.423 0.423 0.732
0.888 0.251 0.579
0.718 0.112 0.421
0.461 0.901 0.883
0.756 0.461 0.883
0.244 0.539 0.117
0.901 0.756 0.883
0.539 0.099 0.117
0.099 0.244 0.117
0.000 0.000 0.000
```

# 3
Here is Tb13Tm3 after structural relaxation from Alexandria. Energies are from PBE-GGA.

Summary:
Volume ... 501.8 Å³/cell
Total magnetic moment ... 0.00 μB/atom
Formation enthalpy at 0 K ... 0.015 eV per atom
Density ... 8515 kg/m3

```
Tb13Tm3
1.0
-1.143 1.367 6.857
-1.054 -6.903 1.198
9.753 -1.166 1.858
Tm Tb
3 13
direct
0.751 0.249 0.000
0.000 0.000 0.249
0.000 0.000 0.751
0.500 0.000 0.751
0.500 0.500 0.751
0.000 0.500 0.249
0.249 0.751 0.500
0.000 0.500 0.751
0.249 0.249 0.500
0.249 0.751 0.000
0.751 0.249 0.500
0.500 0.500 0.249
0.500 0.000 0.249
0.249 0.249 0.000
0.751 0.751 0.500
0.751 0.751 0.000
```

# 4
Here is Sr2AgSCl after structural relaxation from Alexandria. Energies are from PBE-GGA.

Summary:
Volume ... 165.6 Å³/cell
Total magnetic moment ... 0.00 μB/atom
Final energy ... -3.39 eV per atom
Density ... 3515 kg/m3

```
Sr2AgSCl
1.0
5.770 0.000 0.000
0.000 5.770 0.000
0.000 0.000 4.975
Sr Cl S Ag
2 1 1 1
direct
0.000 0.500 0.000
0.500 0.000 0.000
0.500 0.500 0.500
0.000 0.000 0.000
0.000 0.000 0.500
```

# 5
Here is LiHfHgPd after structural relaxation from Alexandria. Energies are from PBE-GGA.

Summary:
Volume ... 71.7 Å³/cell
Total magnetic moment ... 0.00 μB/atom
Formation enthalpy at 0 K ... -0.325 eV per atom
Density ... 11405 kg/m3

```
LiHfHgPd
1.0
-4.438 -1.425 0.121
-1.416 -2.935 3.335
-2.841 1.505 3.378
Hf Li Hg Pd
1 1 1 1
direct
0.500 0.500 0.500
0.000 0.000 0.000
0.750 0.750 0.750
0.250 0.250 0.250
```

# 6
Here is AcThAl2Hg5 after structural relaxation from Alexandria. Energies are from PBE-GGA.

Summary:
Volume ... 234.5 Å³/cell
Total magnetic moment ... 0.00 μB/atom
Formation enthalpy at 0 K ... -0.121 eV per atom
Density ... 10737 kg/m3

```
AcThAl2Hg5
1.0
5.254 0.000 0.000
0.000 5.254 0.000
0.000 0.000 8.494
Hg Ac Al Th
5 1 2 1
direct
0.500 0.000 0.765
0.000 0.500 0.235
0.000 0.500 0.765
0.500 0.000 0.235
0.500 0.500 0.500
0.000 0.000 0.500
0.500 0.500 0.847
0.500 0.500 0.153
0.000 0.000 0.000
```

# 7
Here is EuZn2 after structural relaxation from Alexandria. Energies are from PBE-GGA.

Summary:
Volume ... 133.9 Å³/cell
Total magnetic moment ... 2.42 μB/atom
Formation enthalpy at 0 K ... -0.297 eV per atom
Density ... 7015 kg/m3

```
EuZn2
1.0
4.666 0.000 0.000
2.317 5.357 0.000
2.317 0.092 5.357
Zn Eu
4 2
direct
0.165 0.774 0.897
0.165 0.397 0.274
0.835 0.603 0.726
0.835 0.226 0.103
0.452 0.799 0.299
0.548 0.201 0.701
```

# 8
Here is LaTb5Pr after structural relaxation from Alexandria. Energies are from PBE-GGA.

Summary:
Volume ... 299.4 Å³/cell
Total magnetic moment ... 0.00 μB/atom
Formation enthalpy at 0 K ... 1.056 eV per atom
Density ... 5958 kg/m3

```
LaTb5Pr
1.0
-2.458 2.844 4.406
-2.905 -4.990 5.407
4.425 -0.415 6.543
La Tb Pr
1 5 1
direct
0.000 0.000 0.000
0.500 0.821 0.179
0.251 0.749 0.749
0.500 0.179 0.821
0.000 0.500 0.500
0.749 0.251 0.251
0.500 0.500 0.500
```

# 9
Here is Sc3Tc2 after structural relaxation from Alexandria. Energies are from PBE-GGA.

Summary:
Volume ... 183.5 Å³/cell
Total magnetic moment ... 0.00 μB/atom
Formation enthalpy at 0 K ... 0.009 eV per atom
Density ... 5989 kg/m3

```
Sc3Tc2
1.0
0.000 4.898 6.764
2.769 0.000 6.764
2.769 4.898 0.000
Sc Tc
6 4
direct
0.350 0.150 0.150
0.710 0.508 0.294
0.956 0.762 0.540
0.488 0.294 0.508
0.742 0.540 0.762
0.100 0.900 0.900
0.896 0.697 0.102
0.553 0.354 0.945
0.148 0.945 0.354
0.305 0.102 0.697
```

# 10
Here is TaI2F2 after structural relaxation from Alexandria. Energies are from PBE-GGA.

Summary:
Volume ... 125.8 Å³/cell
Total magnetic moment ... 0.20 μB/atom
Final energy ... -4.62 eV per atom
Density ... 6239 kg/m3

```
TaI2F2
1.0
6.049 0.000 0.000
0.000 6.049 0.000
3.024 3.024 3.439
F I Ta
2 2 1
direct
0.277 0.277 0.447
0.723 0.723 0.553
0.250 0.750 0.500
0.750 0.250 0.500
0.000 0.000 0.000
```

# 11
Here is ZrTlMo2 after structural relaxation from Alexandria. Energies are from PBE-GGA.

Summary:
Volume ... 75.1 Å³/cell
Total magnetic moment ... 0.00 μB/atom
Formation enthalpy at 0 K ... 0.337 eV per atom
Density ... 10785 kg/m3

```
ZrTlMo2
1.0
-0.744 3.381 3.605
1.383 -2.396 4.163
2.572 0.537 -4.252
Zr Mo Tl
1 2 1
direct
0.750 0.250 0.500
0.250 0.750 0.500
0.000 0.000 0.000
0.500 0.500 0.000
```

# 12
Here is Mg2Si2Sb after structural relaxation from Alexandria. Energies are from PBE-GGA.

Summary:
Volume ... 202.7 Å³/cell
Total magnetic moment ... 0.00 μB/atom
Final energy ... -3.50 eV per atom
Density ... 3712 kg/m3

```
Mg2Si2Sb
1.0
8.198 0.000 0.000
0.000 8.198 0.000
0.000 0.000 3.016
Si Mg Sb
4 4 2
direct
0.166 0.334 0.000
0.834 0.666 0.000
0.334 0.834 0.000
0.666 0.166 0.000
0.867 0.367 0.500
0.133 0.633 0.500
0.633 0.867 0.500
0.367 0.133 0.500
0.500 0.500 0.000
0.000 0.000 0.000
```